i:
Computed, not measured: a geometry-optimized BeCdCl structure at the PBE-GGA level of DFT.

abc: 6.4757 6.4757 6.4757
angles: 90.00 90.00 90.00
Last column: nearest neighbours and their distance in Å.
Space group F-43m (No. 216)
Unique sites:
Be 0.0000 0.0000 0.0000 [4 per cell]  4 Cl 2.80, 4 Cd 2.80
Cd 0.2500 0.2500 0.7500 [4 per cell]  4 Be 2.80
Cl 0.2500 0.2500 0.2500 [4 per cell]  4 Be 2.80

Values from the calculation:
The density of states at the Fermi level comes out at 0.80 states/eV per atom. As for the crystal system: cubic.

---

ii:
Computed, not measured: a geometry-optimized BeCdCl structure at the PBE-GGA level of DFT.

abc: 3.0401 5.8121 15.5282
angles: 90.00 90.00 90.00
Last column: nearest neighbours and their distance in Å.
Space group Fmm2 (No. 42)
Unique sites:
Be 0.0000 0.0000 0.0000 [4 per cell]  2 Cl 2.03
Cd 0.0000 0.0000 0.6417 [4 per cell]  2 Be 2.67
Cl 0.0000 0.0000 0.4134 [4 per cell]  2 Be 2.03

Values from the calculation:
The density of states at the Fermi level comes out at 0.24 states/eV per atom. As for the crystal system: orthorhombic.

---

Winner for stability: ii

---

i:
Computed, not measured: a geometry-optimized BeCdPCl2 structure at the PBE-GGA level of DFT.

abc: 4.2022 4.2022 5.7140
angles: 90.00 90.00 90.00
Last column: nearest neighbours and their distance in Å.
Space group P4/mmm (No. 123)
Unique sites:
Be 0.0000 0.0000 0.0000 [1 per cell]  4 Cl 2.10
Cd 0.5000 0.5000 0.5000 [1 per cell]  4 P 2.97
P 0.0000 0.0000 0.5000 [1 per cell]  2 Be 2.86, 4 Cd 2.97
Cl 0.0000 0.5000 0.0000 [2 per cell]  2 Be 2.10

Values from the calculation:
The density of states at the Fermi level comes out at 0.33 states/eV per atom. As for the crystal system: tetragonal.

---

ii:
Computed, not measured: a geometry-optimized BeCdPCl2 structure at the PBE-GGA level of DFT.

abc: 5.1374 5.1374 5.2669
angles: 90.00 90.00 90.00
Last column: nearest neighbours and their distance in Å.
Space group P4/mmm (No. 123)
Unique sites:
Be 0.0000 0.0000 0.0000 [1 per cell]  4 P 3.63, 8 Cl 3.68
Cd 0.5000 0.5000 0.5000 [1 per cell]  4 Cl 2.57, 2 P 2.63
P 0.5000 0.5000 0.0000 [1 per cell]  2 Cd 2.63
Cl 0.0000 0.5000 0.5000 [2 per cell]  2 Cd 2.57

Values from the calculation:
The density of states at the Fermi level comes out at 0.39 states/eV per atom. As for the crystal system: tetragonal.

---

Winner for stability: i